Entry 1:
This record from the Alexandria database describes a relaxed structure of Y2Fe4Si. The functional is PBE-GGA.

The structure in CIF format:
```
data_Y2Fe4Si
_space_group_name_H-M_alt 'P 42/m n m'
_space_group_IT_number 136
_space_group_name_Hall '-P 4n 2n'
_cell_length_a 6.850
_cell_length_b 6.850
_cell_length_c 5.101
_cell_angle_alpha 90.00
_cell_angle_beta 90.00
_cell_angle_gamma 90.00
loop_
_atom_site_label
_atom_site_fract_x
_atom_site_fract_y
_atom_site_fract_z
Y1 0.185 0.185 0.000
Fe1 0.085 0.349 0.500
Si1 0.000 0.000 0.500
```

Calculated values
E_form (uncorrected): 0.157 eV per atom
final energy: -7.300 eV/atom
Fermi-level density of states: 1.465 states/eV per atom
M_tot: 7.94 μB/f.u.



Entry 2:
This record from the Alexandria database describes a relaxed structure of CaPm12Pd7. The functional is PBE-GGA.

The structure in CIF format:
```
data_CaPm12Pd7
_space_group_name_H-M_alt 'R -3'
_space_group_IT_number 148
_space_group_name_Hall '-R 3'
_cell_length_a 15.2890
_cell_length_b 15.2890
_cell_length_c 8.4691
_cell_angle_alpha 90.00
_cell_angle_beta 90.00
_cell_angle_gamma 120.00
loop_
_atom_site_label
_atom_site_fract_x
_atom_site_fract_y
_atom_site_fract_z
Ca1 0.0000 0.0000 0.0000
Pm1 0.0562 0.7812 0.9779
Pm2 0.0635 0.2118 0.3826
Pd1 0.0000 0.0000 0.5000
Pd2 0.0518 0.1817 0.7514
```

Calculated values
final energy: -5.211 eV/atom
Fermi-level density of states: 1.033 states/eV per atom
M_tot: 0.00 μB/f.u.



Entry 3:
This record from the Alexandria database describes a relaxed structure of AcAgSeS. The functional is PBE-GGA.

The structure in CIF format:
```
data_AcAgSeS
_space_group_name_H-M_alt 'R -3 m'
_space_group_IT_number 166
_space_group_name_Hall '-R 3 2"'
_cell_length_a 4.7317
_cell_length_b 4.7317
_cell_length_c 34.1551
_cell_angle_alpha 90.00
_cell_angle_beta 90.00
_cell_angle_gamma 120.00
loop_
_atom_site_label
_atom_site_fract_x
_atom_site_fract_y
_atom_site_fract_z
Ac1 0.0000 0.0000 0.1086
Ag1 0.0000 0.0000 0.3049
Se1 0.0000 0.0000 0.3858
S1 0.0000 0.0000 0.1976
```

Calculated values
E_form (uncorrected): -1.351 eV per atom
final energy: -4.994 eV/atom
energy above the lowest structure with this stoichiometry: 0.0 kJ/mol of atoms
M_tot: 0.00 μB/f.u.



Entry 4:
This record from the Alexandria database describes a relaxed structure of Be2PbF6. The functional is PBE-GGA.

The structure in CIF format:
```
data_Be2PbF6
_space_group_name_H-M_alt 'C 1 2/c 1'
_space_group_IT_number 15
_space_group_name_Hall '-C 2yc'
_cell_length_a 10.509
_cell_length_b 10.570
_cell_length_c 5.156
_cell_angle_alpha 90.00
_cell_angle_beta 107.21
_cell_angle_gamma 90.00
loop_
_atom_site_label
_atom_site_fract_x
_atom_site_fract_y
_atom_site_fract_z
Be1 0.207 0.071 0.195
Pb1 0.000 0.353 0.250
F1 0.135 0.433 0.707
F2 0.157 0.003 0.912
F3 0.157 0.209 0.179
```

Calculated values
E_form (uncorrected): -2.959 eV per atom
final energy: -5.447 eV/atom
energy above the lowest structure with this stoichiometry: 0.0 kJ/mol of atoms
Fermi-level density of states: 0.000 states/eV per atom
M_tot: 0.00 μB/f.u.